Entry from Alexandria via LeMat-Bulk: a relaxed structure of NaSc4Se5 (PBE-GGA).

Unit cell a=3.901 b=5.511 c=19.735 alpha=90.00 beta=90.00 gamma=90.00
Space group Immm (No. 71)
Symmetry-distinct sites (fractional):
Na: 0.000 0.000 0.000 x2
Sc: 0.000 0.000 0.206 x4
Sc: 0.000 0.000 0.399 x4
Se: 0.000 0.500 0.000 x2
Se: 0.000 0.500 0.198 x4
Se: 0.000 0.500 0.392 x4

Results
calculated density = 4.68 g cm⁻³
formation energy from raw total energies = -1.585 eV per atom
calculated volume = 21.2 Å³/atom
total DFT energy (no corrections) = -119.83 eV/cell
DOS at the Fermi energy = 2.93 states/eV/f.u.